1.
The following is a DFT calculation (PBE) of a relaxed structure of Sr2BePt.

Cell: 5.0533 5.0533 5.0533 Å, 60.00 60.00 60.00°
Atoms (fractional coordinates):
1 Sr 0.0000 0.0000 0.0000
2 Sr 0.2500 0.2500 0.2500
3 Pt 0.7500 0.7500 0.7500
4 Be 0.5000 0.5000 0.5000

Output
The calculated formation energy is 0.125 eV per atom. Its space-group type is F-43m, No. 216. The value obtained for the density is 6.90 g cm⁻³. For the density of states at the Fermi level, the calculation gives 5.13 states/eV/f.u.



2.
The following is a DFT calculation (PBE) of a relaxed structure of GaPt8Rh6.

Cell: 6.5693 6.5693 7.3157 Å, 63.32 63.32 60.00°
Atoms (fractional coordinates):
1 Ga 0.0000 0.0000 0.0000
2 Pt 0.7099 0.3949 0.6772
3 Pt 0.7819 0.2901 0.3228
4 Pt 0.6052 0.7819 0.3228
5 Pt 0.1772 0.1772 0.4684
6 Pt 0.8228 0.8228 0.5316
7 Pt 0.3948 0.2181 0.6772
8 Pt 0.2181 0.7099 0.6772
9 Pt 0.2901 0.6051 0.3228
10 Rh 0.0730 0.5518 0.1130
11 Rh 0.7378 0.9270 0.8870
12 Rh 0.4482 0.7378 0.8870
13 Rh 0.5518 0.2622 0.1130
14 Rh 0.2622 0.0730 0.1130
15 Rh 0.9270 0.4482 0.8870

Output
The calculated formation energy is 0.023 eV per atom. Its space-group type is R-3, No. 148. The value obtained for the density is 15.96 g cm⁻³. For the density of states at the Fermi level, the calculation gives 21.51 states/eV/f.u.



3.
The following is a DFT calculation (PBE) of a relaxed structure of ZrSc2Si.

Cell: 3.3590 3.3581 7.3101 Å, 90.00 90.00 90.00°
Atoms (fractional coordinates):
1 Sc 0.0000 0.0000 0.0353
2 Sc 0.0000 0.0000 0.4647
3 Si 0.5000 0.5000 0.2500
4 Zr 0.5000 0.5000 0.7500

Output
Its space-group type is P4/mmm, No. 123. The value obtained for the density is 4.21 g cm⁻³. For the density of states at the Fermi level, the calculation gives 3.64 states/eV/f.u. As for the uncorrected formation energy: -0.30 eV per atom.



4.
The following is a DFT calculation (PBE) of a relaxed structure of Cs3NpBi2S6.

Cell: 7.3222 7.3222 8.4064 Å, 98.33 98.33 119.99°
Atoms (fractional coordinates):
1 Cs 0.1690 0.8310 0.5000
2 Cs 0.8310 0.1690 0.5000
3 Cs 0.5000 0.5000 0.5000
4 Np 0.0000 0.0000 0.0000
5 Bi 0.3336 0.6664 0.0000
6 Bi 0.6664 0.3336 0.0000
7 S 0.9380 0.6116 0.8135
8 S 0.7360 0.7360 0.1874
9 S 0.0620 0.3884 0.1865
10 S 0.6116 0.9380 0.8135
11 S 0.2640 0.2640 0.8126
12 S 0.3884 0.0620 0.1865

Output
Its space-group type is C2/m, No. 12. The value obtained for the density is 5.54 g cm⁻³. For the density of states at the Fermi level, the calculation gives 6.50 states/eV/f.u. As for the uncorrected formation energy: -0.95 eV per atom.



5.
The following is a DFT calculation (PBE) of a relaxed structure of AgPb.

Cell: 11.2331 11.2331 3.2463 Å, 90.00 90.00 90.00°
Atoms (fractional coordinates):
1 Ag 0.3751 0.0831 0.0000
2 Ag 0.6249 0.9169 0.0000
3 Ag 0.9169 0.3751 0.0000
4 Ag 0.0831 0.6249 0.0000
5 Ag 0.8751 0.5831 0.5000
6 Ag 0.1249 0.4169 0.5000
7 Ag 0.4169 0.8751 0.5000
8 Ag 0.5831 0.1249 0.5000
9 Pb 0.1818 0.8778 0.0000
10 Pb 0.8182 0.1222 0.0000
11 Pb 0.1222 0.1818 0.0000
12 Pb 0.8778 0.8182 0.0000
13 Pb 0.6818 0.3778 0.5000
14 Pb 0.3182 0.6222 0.5000
15 Pb 0.6222 0.6818 0.5000
16 Pb 0.3778 0.3182 0.5000

Output
The calculated formation energy is 0.101 eV per atom. Its space-group type is I4/m, No. 87. The value obtained for the density is 10.22 g cm⁻³. For the density of states at the Fermi level, the calculation gives 0.93 states/eV/f.u.



6.
The following is a DFT calculation (PBE) of a relaxed structure of CsCd3.

Cell: 4.2404 4.7112 7.6238 Å, 90.00 90.00 90.00°
Atoms (fractional coordinates):
1 Cs 0.0000 0.5000 0.3106
2 Cd 0.0000 0.0000 0.8899
3 Cd 0.5000 0.0000 0.6109
4 Cd 0.5000 0.5000 0.8552

Output
The calculated formation energy is 0.022 eV per atom. Its space-group type is Pmm2, No. 25. The calculation puts the distance to the lowest polymorph of the same formula at 0.093 eV per atom. The value obtained for the density is 5.13 g cm⁻³. For the density of states at the Fermi level, the calculation gives 2.17 states/eV/f.u.



7.
The following is a DFT calculation (PBE) of a relaxed structure of HgBiAu.

Cell: 4.2643 5.7878 7.0013 Å, 74.38 72.27 68.38°
Atoms (fractional coordinates):
1 Hg 0.8456 0.2641 0.0447
2 Hg 0.1544 0.7359 0.9553
3 Bi 0.4214 0.8075 0.3498
4 Bi 0.5786 0.1925 0.6502
5 Au 0.8440 0.6496 0.6624
6 Au 0.1560 0.3504 0.3376

Output
The calculated formation energy is 0.020 eV per atom. Its space-group type is C2/m, No. 12. The value obtained for the density is 13.38 g cm⁻³. For the density of states at the Fermi level, the calculation gives 0.89 states/eV/f.u.



8.
The following is a DFT calculation (PBE) of a relaxed structure of ErIn2Pd.

Cell: 5.6647 7.5073 16.7548 Å, 90.00 90.00 90.00°
Atoms (fractional coordinates):
1 Er 0.4669 0.2500 0.1439
2 Er 0.9669 0.7500 0.3561
3 Er 0.5331 0.7500 0.8561
4 Er 0.0331 0.2500 0.6439
5 Er 0.7313 0.2500 0.3922
6 Er 0.2313 0.7500 0.1078
7 Er 0.2687 0.7500 0.6078
8 Er 0.7687 0.2500 0.8922
9 In 0.9693 0.0487 0.2166
10 In 0.4693 0.9513 0.2834
11 In 0.0307 0.5487 0.7834
12 In 0.5307 0.4513 0.7166
13 In 0.0307 0.9513 0.7834
14 In 0.5307 0.0487 0.7166
15 In 0.9693 0.4513 0.2166
16 In 0.4693 0.5487 0.2834
17 In 0.7360 0.5466 0.0315
18 In 0.2360 0.4534 0.4685
19 In 0.2640 0.0466 0.9685
20 In 0.7640 0.9534 0.5315
21 In 0.2640 0.4534 0.9685
22 In 0.7640 0.5466 0.5315
23 In 0.7360 0.9534 0.0315
24 In 0.2360 0.0466 0.4685
25 Pd 0.2216 0.2500 0.3303
26 Pd 0.7216 0.7500 0.1697
27 Pd 0.7784 0.7500 0.6697
28 Pd 0.2784 0.2500 0.8303
29 Pd 0.9902 0.2500 0.0753
30 Pd 0.4902 0.7500 0.4247
31 Pd 0.0098 0.7500 0.9247
32 Pd 0.5098 0.2500 0.5753

Output
The calculated formation energy is -0.601 eV per atom. Its space-group type is Pnma, No. 62. The value obtained for the density is 9.38 g cm⁻³. For the density of states at the Fermi level, the calculation gives 1.83 states/eV/f.u.



Question: What is the density in the second record?
Answer: 15.96 g cm⁻³



Question: What is the density in the first record?
Answer: 6.90 g cm⁻³



Question: Which formula does entry 8 have?
Answer: ErIn2Pd